Entry from the Alexandria database: a relaxed RbAc2Sn crystal (GGA-PBE).

The structure belongs to space group R-3m (No. 166, hexagonal axes); the cell edges are 4.5867, 4.5867 and 38.3292 Å and the angles 90.00°, 90.00° and 120.00°. The asymmetric unit holds Rb at (0.0000, 0.0000, 0.0000), Ac at (0.0000, 0.0000, 0.1164) and Sn at (0.0000, 0.0000, 0.5000).

The density of states at the Fermi level is 4.617 states/eV/f.u. The value obtained for the offset from the most stable computed form is 68 meV per atom.

---

Entry from the Alexandria database: a relaxed RbAcSn2 crystal (GGA-PBE).

The structure belongs to space group P4/mmm (No. 123); the cell edges are 5.270, 5.270 and 4.978 Å and the angles 90.00°, 90.00° and 90.00°. The asymmetric unit holds Rb at (0.000, 0.000, 0.000), Ac at (0.500, 0.500, 0.000) and Sn at (0.000, 0.500, 0.500).

The density of states at the Fermi level is 1.329 states/eV/f.u. The value obtained for the offset from the most stable computed form is 136 meV per atom.

---

Entry from the Alexandria database: a relaxed RbAcSn2 crystal (GGA-PBE).

The structure belongs to space group Fm-3m (No. 225); the cell edges are 8.324, 8.324 and 8.324 Å and the angles 90.00°, 90.00° and 90.00°. The asymmetric unit holds Rb at (0.000, 0.000, 0.000), Ac at (0.000, 0.000, 0.500) and Sn at (0.250, 0.250, 0.250).

The density of states at the Fermi level is 1.874 states/eV/f.u. The value obtained for the offset from the most stable computed form is 189 meV per atom.

---

Calculated formation energy / meV/atom: -62; -251; -198